A plane-wave DFT calculation with PBE+U was carried out for a geometry-optimized CaNbV2O8 structure. Values from VASP.

Geometry as Quantum ESPRESSO input:
```
&SYSTEM
  ibrav = 0, nat = 12, ntyp = 4
/
ATOMIC_SPECIES
Nb 92.91 Nb.upf
O 16.00 O.upf
V 50.94 V.upf
Ca 40.08 Ca.upf
ATOMIC_POSITIONS crystal
Nb 0.000 0.000 0.000
O 0.514 0.693 0.821
O 0.789 0.078 0.710
O 0.307 0.128 0.821
O 0.922 0.632 0.710
O 0.307 0.486 0.179
O 0.922 0.211 0.290
O 0.872 0.693 0.179
O 0.368 0.078 0.290
V 0.500 0.500 0.000
V 0.750 0.250 0.500
Ca 0.250 0.750 0.500
CELL_PARAMETERS angstrom
5.829 0.075 0.000
-2.518 5.257 0.000
-1.655 -2.666 4.912
```

Results
Its symmetry is I-4m2, No. 119. As for the total energy: -7.783 eV per atom.